La2Pr6Sm3Y: relaxed, PBE-GGA.

Unit cell a=6.3952 b=11.0778 c=12.2173 alpha=90.00 beta=100.14 gamma=90.00
Closest atoms and distances in Å follow each position.
Space group C2/m (No. 12)
Symmetry-distinct sites (fractional):
La 0.0000 0.1670 0.0000 (multiplicity 4)  3 La 3.69-3.70, 3 Y 3.69, 6 Pr 3.71
Pr 0.2486 0.5000 0.7475 (multiplicity 4)  3 Sm 3.66-3.67, 6 Pr 3.68-3.70, 1 Y 3.71, 2 La 3.71
Pr 0.2496 0.1662 0.7476 (multiplicity 8)  3 Sm 3.66-3.67, 6 Pr 3.68-3.70, 1 Y 3.70, 2 La 3.71
Sm 0.0000 0.0000 0.5000 (multiplicity 2)  6 Pr 3.66-3.67, 6 Sm 3.69-3.70
Sm 0.0000 0.3336 0.5000 (multiplicity 4)  6 Pr 3.66-3.67, 6 Sm 3.69-3.70
Y 0.0000 0.5000 0.0000 (multiplicity 2)  6 La 3.69, 6 Pr 3.70-3.71

## Properties
**Energy of formation**: 0.014 eV per atom
**Magnetization**: 0.00 μB/f.u.

---

LaPr6Sm3Y2: relaxed, PBE-GGA.

Unit cell a=6.3735 b=11.0405 c=12.1388 alpha=90.00 beta=100.10 gamma=90.00
Closest atoms and distances in Å follow each position.
Space group C2/m (No. 12)
Symmetry-distinct sites (fractional):
La 0.0000 0.0000 0.0000 (multiplicity 2)  6 Pr 3.67, 6 Y 3.68
Pr 0.2495 0.3331 0.7494 (multiplicity 8)  3 Sm 3.66, 2 Y 3.67, 1 La 3.67, 6 Pr 3.68
Pr 0.2498 0.0000 0.7492 (multiplicity 4)  3 Sm 3.66, 2 Y 3.67, 1 La 3.67, 6 Pr 3.68
Sm 0.0000 0.1670 0.5000 (multiplicity 4)  6 Pr 3.66, 6 Sm 3.68-3.69
Sm 0.0000 0.5000 0.5000 (multiplicity 2)  6 Pr 3.66, 6 Sm 3.68
Y 0.0000 0.3335 0.0000 (multiplicity 4)  6 Pr 3.67, 3 Y 3.68, 3 La 3.68

## Properties
**Energy of formation**: 0.013 eV per atom
**Magnetization**: 0.00 μB/f.u.

---

LaPrSm2Y: relaxed, PBE-GGA.

Unit cell a=9.1700 b=6.5078 c=6.4923 alpha=90.00 beta=109.93 gamma=90.00
Closest atoms and distances in Å follow each position.
Space group P2/c (No. 13)
Symmetry-distinct sites (fractional):
La 0.0000 0.0000 0.0000 (multiplicity 2)  2 La 3.25, 2 Sm 3.46, 2 Y 3.61
Pr 0.5000 0.1636 0.2500 (multiplicity 2)  8 Sm 3.54-3.77, 2 Pr 3.88
Sm 0.3179 0.3235 0.6601 (multiplicity 4)  1 Sm 3.14, 2 Y 3.37-3.40, 1 La 3.46
Y 0.0000 0.4961 0.2500 (multiplicity 2)  2 Y 3.25, 4 Sm 3.37-3.40, 2 La 3.61

## Properties
**Energy of formation**: 0.267 eV per atom
**Magnetization**: 0.00 μB/f.u.

---

LaPr2Sm2Y2: relaxed, PBE-GGA.

Unit cell a=11.8650 b=3.5271 c=12.0758 alpha=90.00 beta=101.50 gamma=90.00
Closest atoms and distances in Å follow each position.
Space group C2/m (No. 12)
Symmetry-distinct sites (fractional):
La 0.0000 0.0000 0.0000 (multiplicity 2)  2 La 3.53, 6 Pr 3.56-3.63, 4 Y 3.77
Pr 0.2045 0.5000 0.8665 (multiplicity 4)  1 Sm 3.47, 4 Pr 3.53-3.64, 3 La 3.56-3.63, 3 Y 3.58-3.73
Sm 0.1577 0.5000 0.5731 (multiplicity 4)  4 Y 3.47-3.72, 1 Pr 3.47, 5 Sm 3.53-3.81
Y 0.0897 0.5000 0.2797 (multiplicity 4)  4 Sm 3.47-3.72, 2 Y 3.53, 3 Pr 3.58-3.73, 2 La 3.77

## Properties
**Energy of formation**: 0.151 eV per atom
**Magnetization**: 0.00 μB/f.u.

---

La2PrSm6Y: relaxed, PBE-GGA.

Unit cell a=9.1717 b=15.3184 c=10.0487 alpha=90.00 beta=99.70 gamma=90.00
Closest atoms and distances in Å follow each position.
Space group C2/c (No. 15)
Symmetry-distinct sites (fractional):
La 0.2434 0.0491 0.0408 (multiplicity 8)  5 Sm 3.33-3.63, 2 Pr 3.41-3.45, 1 Y 3.62
Pr 0.0000 0.0132 0.7500 (multiplicity 4)  4 La 3.41-3.45, 4 Sm 3.69
Sm 0.0711 0.1908 0.4445 (multiplicity 8)  7 Sm 3.47-3.83, 1 La 3.63, 1 Pr 3.69, 1 Y 3.82
Sm 0.0979 0.3952 0.6203 (multiplicity 8)  3 La 3.33-3.57, 4 Sm 3.33-3.58, 2 Y 3.50-3.68
Sm 0.2016 0.2217 0.8127 (multiplicity 8)  4 Sm 3.33-3.72, 1 La 3.48, 1 Y 3.50, 1 Pr 3.69
Y 0.0000 0.4055 0.2500 (multiplicity 4)  8 Sm 3.50-3.82, 2 La 3.62

## Properties
**Energy of formation**: 0.110 eV per atom
**Magnetization**: 0.00 μB/f.u.

---

La6PrSmY2: relaxed, PBE-GGA.

Unit cell a=11.4150 b=7.2566 c=9.0157 alpha=90.00 beta=103.49 gamma=90.00
Closest atoms and distances in Å follow each position.
Space group C2/m (No. 12)
Symmetry-distinct sites (fractional):
La 0.1387 0.0000 0.4359 (multiplicity 4)  5 La 3.61-3.79, 1 Pr 3.88, 1 Sm 4.03
La 0.1768 0.2778 0.7999 (multiplicity 8)  1 La 3.22, 2 Y 3.26-3.56, 1 Sm 3.38
Pr 0.0000 0.0000 0.0000 (multiplicity 2)  10 La 3.62-4.05, 4 Y 3.97
Sm 0.0000 0.5000 0.5000 (multiplicity 2)  4 La 3.38, 2 Y 3.45
Y 0.0933 0.5000 0.1628 (multiplicity 4)  1 Y 3.20, 4 La 3.26-3.56, 1 Sm 3.45

## Properties
**Energy of formation**: 0.185 eV per atom
**Magnetization**: 0.00 μB/f.u.

---

LaPrSm2Y2: relaxed, PBE-GGA.

Unit cell a=6.6870 b=18.2760 c=3.4340 alpha=90.00 beta=90.00 gamma=90.00
Closest atoms and distances in Å follow each position.
Space group Pnnm (No. 58)
Symmetry-distinct sites (fractional):
La 0.0000 0.0000 0.0000 (multiplicity 2)  2 Y 3.32, 2 La 3.43, 2 Sm 3.70
Pr 0.0000 0.5000 0.0000 (multiplicity 2)  2 Pr 3.43, 4 Y 3.56, 4 La 3.76
Sm 0.2229 0.1853 0.0000 (multiplicity 4)  4 Y 3.39-3.46, 2 Sm 3.43, 1 La 3.70
Y 0.2201 0.3498 0.5000 (multiplicity 4)  1 La 3.32, 4 Sm 3.39-3.46, 2 Y 3.43, 2 Pr 3.56

## Properties
**Energy of formation**: 0.270 eV per atom
**Magnetization**: 0.00 μB/f.u.

---

LaPr3SmY: relaxed, PBE-GGA.

Unit cell a=8.2079 b=5.2339 c=10.4254 alpha=90.00 beta=108.52 gamma=90.00
Closest atoms and distances in Å follow each position.
Space group P2_1/m (No. 11)
Symmetry-distinct sites (fractional):
La 0.1688 0.2500 0.2920 (multiplicity 2)  3 Sm 3.67-3.68, 1 Y 3.68, 8 Pr 3.70-3.71
Pr 0.1692 0.2500 0.7921 (multiplicity 2)  1 Sm 3.65, 3 Y 3.66, 6 Pr 3.69-3.71, 2 La 3.71
Pr 0.1696 0.7500 0.0417 (multiplicity 2)  3 Y 3.64-3.68, 1 Sm 3.66, 5 Pr 3.69-3.72, 3 La 3.70
Pr 0.1700 0.7500 0.5428 (multiplicity 2)  1 Y 3.66, 3 Sm 3.67, 5 Pr 3.69-3.72, 3 La 3.70-3.71
Sm 0.5002 0.2500 0.6262 (multiplicity 2)  5 Pr 3.65-3.67, 3 La 3.67-3.68, 2 Y 3.70, 2 Sm 3.71
Y 0.4984 0.7500 0.8761 (multiplicity 2)  7 Pr 3.64-3.68, 2 Y 3.67, 1 La 3.68, 2 Sm 3.70

## Properties
**Energy of formation**: 0.018 eV per atom
**Magnetization**: 0.00 μB/f.u.

---

LaPr3Sm6Y2: relaxed, PBE-GGA.

Unit cell a=6.3257 b=10.9552 c=12.1326 alpha=90.00 beta=100.02 gamma=90.00
Closest atoms and distances in Å follow each position.
Space group C2/m (No. 12)
Symmetry-distinct sites (fractional):
La 0.0000 0.0000 0.0000 (multiplicity 2)  6 Sm 3.64-3.65, 6 Y 3.65
Pr 0.0000 0.1671 0.5000 (multiplicity 4)  6 Pr 3.65-3.66, 6 Sm 3.67
Pr 0.0000 0.5000 0.5000 (multiplicity 2)  6 Pr 3.65, 6 Sm 3.67
Sm 0.2489 0.5000 0.2487 (multiplicity 4)  2 Y 3.64, 1 La 3.65, 6 Sm 3.65-3.66, 3 Pr 3.67
Sm 0.2497 0.1669 0.2483 (multiplicity 8)  2 Y 3.64, 1 La 3.64, 6 Sm 3.65-3.66, 3 Pr 3.67
Y 0.0000 0.3334 0.0000 (multiplicity 4)  6 Sm 3.64, 3 Y 3.65, 3 La 3.65

## Properties
**Energy of formation**: 0.017 eV per atom
**Magnetization**: 0.00 μB/f.u.

---

La2Pr2SmY: relaxed, PBE-GGA.

Unit cell a=7.1951 b=5.8255 c=10.0751 alpha=90.00 beta=90.00 gamma=90.00
Closest atoms and distances in Å follow each position.
Space group Pmma (No. 51)
Symmetry-distinct sites (fractional):
La 0.0000 0.0000 0.0000 (multiplicity 2)  6 La 3.60-3.85, 6 Pr 3.80, 2 Sm 3.88
La 0.2500 0.5000 0.1743 (multiplicity 2)  5 Pr 3.32-3.60
Pr 0.2500 0.0000 0.3321 (multiplicity 2)  3 Sm 3.29-3.60, 2 La 3.32
Pr 0.2500 0.5000 0.8356 (multiplicity 2)  2 Sm 3.41, 7 La 3.41-3.80
Sm 0.2500 0.0000 0.6590 (multiplicity 2)  5 Pr 3.29-3.60
Y 0.0000 0.5000 0.5000 (multiplicity 2)  2 Y 3.60, 2 La 3.74, 4 Sm 3.78, 6 Pr 3.82-3.83

## Properties
**Energy of formation**: 0.044 eV per atom
**Magnetization**: 0.00 μB/f.u.

---

LaPr6SmY2: relaxed, PBE-GGA.

Unit cell a=9.5066 b=15.4191 c=9.8082 alpha=90.00 beta=97.21 gamma=90.00
Closest atoms and distances in Å follow each position.
Space group C2/c (No. 15)
Symmetry-distinct sites (fractional):
La 0.0000 0.0947 0.2500 (multiplicity 4)  6 Pr 3.54-3.62, 2 Y 3.65
Pr 0.0665 0.3272 0.4415 (multiplicity 8)  7 Pr 3.50-3.86, 2 Y 3.54-3.87, 2 Sm 3.74-3.81
Pr 0.0931 0.1100 0.6183 (multiplicity 8)  3 Pr 3.31-3.50, 3 Y 3.41-3.56, 2 La 3.56-3.62
Pr 0.2109 0.2743 0.8180 (multiplicity 8)  2 Pr 3.31-3.63, 1 La 3.54, 1 Sm 3.56, 1 Y 3.57
Sm 0.0000 0.4643 0.7500 (multiplicity 4)  4 Y 3.46-3.51, 6 Pr 3.56-3.81
Y 0.2434 0.4535 0.0502 (multiplicity 8)  6 Pr 3.41-3.75, 2 Sm 3.46-3.51, 1 La 3.65

## Properties
**Energy of formation**: 0.110 eV per atom
**Magnetization**: 0.00 μB/f.u.

---

La2Pr2Sm2Y: relaxed, PBE-GGA.

Unit cell a=11.6156 b=5.2122 c=8.2452 alpha=90.00 beta=98.20 gamma=90.00
Closest atoms and distances in Å follow each position.
Space group C2/m (No. 12)
Symmetry-distinct sites (fractional):
La 0.1424 0.0000 0.4268 (multiplicity 4)  5 Sm 3.67-3.70, 1 Y 3.67, 3 La 3.68-3.69, 3 Pr 3.69-3.71
Pr 0.2147 0.5000 0.1410 (multiplicity 4)  2 Pr 3.66, 3 Y 3.66-3.68, 4 Sm 3.67-3.68, 3 La 3.69-3.71
Sm 0.0705 0.5000 0.7155 (multiplicity 4)  4 Pr 3.67-3.68, 5 La 3.67-3.70, 2 Y 3.68, 1 Sm 3.70
Y 0.0000 0.0000 0.0000 (multiplicity 2)  6 Pr 3.66-3.68, 2 La 3.67, 4 Sm 3.68

## Properties
**Energy of formation**: 0.019 eV per atom
**Magnetization**: 0.00 μB/f.u.